A:
Entry from the Alexandria database: La4InBr5 after structural relaxation (PBE).

Space-group type: C2/m (12)
Calculated volume, Å³ per atom: 33.30
Magnetization, μB per formula unit: 0.00

POSCAR file:
```
La4InBr5
1.0
10.2237 -2.1368 0.0000
10.2237 2.1368 0.0000
-1.5163 0.0000 7.6225
La In Br
4 1 5
direct
0.0644 0.0644 0.2819 La
0.3738 0.3738 0.1931 La
0.6262 0.6262 0.8069 La
0.9356 0.9356 0.7181 La
0.5000 0.5000 0.5000 In
0.1821 0.1821 0.5941 Br
0.1834 0.1834 0.0862 Br
0.5000 0.5000 0.0000 Br
0.8166 0.8166 0.9138 Br
0.8179 0.8179 0.4059 Br
```

=====

B:
Entry from the Alexandria database: La4InBr5 after structural relaxation (PBE).

Space-group type: C2/m (12)
Calculated volume, Å³ per atom: 36.49
Magnetization, μB per formula unit: 0.00

POSCAR file:
```
La4InBr5
1.0
9.4678 -2.1148 0.0000
9.4678 2.1148 0.0000
-1.9470 0.0000 9.1122
La In Br
4 1 5
direct
0.0054 0.0054 0.2493 La
0.3309 0.3309 0.9315 La
0.6691 0.6691 0.0685 La
0.9946 0.9946 0.7507 La
0.5000 0.5000 0.0000 In
0.1641 0.1641 0.8194 Br
0.1705 0.1705 0.3115 Br
0.5000 0.5000 0.5000 Br
0.8295 0.8295 0.6885 Br
0.8359 0.8359 0.1806 Br
```

=====

Computed relative energies in units of kJ/mol of atoms: A 3.9; B 0.0